Record 1
Nd2ZnPdO5 after structural relaxation. Source: Alexandria via LeMat-Bulk, functional GGA-PBE.

Properties
Space group   No. 127
Magnetic moment   0.000 μB/cell
E_form (uncorrected)   -1.86 eV per atom

```
Nd2ZnPdO5
1.0
6.802 0.000 0.000
0.000 6.802 0.000
0.000 0.000 5.716
Nd Zn Pd O
4 2 2 10
direct
0.172 0.328 0.000 Nd
0.328 0.828 0.000 Nd
0.672 0.172 0.000 Nd
0.828 0.672 0.000 Nd
0.000 0.000 0.500 Zn
0.500 0.500 0.500 Zn
0.000 0.500 0.500 Pd
0.500 0.000 0.500 Pd
0.000 0.000 0.000 O
0.143 0.643 0.251 O
0.143 0.643 0.749 O
0.357 0.143 0.251 O
0.357 0.143 0.749 O
0.500 0.500 0.000 O
0.643 0.857 0.251 O
0.643 0.857 0.749 O
0.857 0.357 0.251 O
0.857 0.357 0.749 O
```

Record 2
KYBe2 after structural relaxation. Source: Alexandria via LeMat-Bulk, functional GGA-PBE.

Properties
ΔE to the lowest computed polymorph   0.478 eV per atom
Formation enthalpy at 0 K   850 meV/atom
Space group   No. 225
Magnetic moment   0.000 μB/cell

```
KYBe2
1.0
0.000 3.574 3.574
3.574 0.000 3.574
3.574 3.574 0.000
K Y Be
1 1 2
direct
0.000 0.000 0.000 K
0.500 0.500 0.500 Y
0.250 0.250 0.250 Be
0.750 0.750 0.750 Be
```

Record 3
Tl2TcBr after structural relaxation. Source: Alexandria via LeMat-Bulk, functional GGA-PBE.

Properties
ΔE to the lowest computed polymorph   0.387 eV per atom
Space group   No. 139
Magnetic moment   3.173 μB/cell
E_form (uncorrected)   0.73 eV per atom

```
Tl2TcBr
1.0
-2.253 2.253 5.019
2.253 -2.253 5.019
2.253 2.253 -5.019
Tl Tc Br
2 1 1
direct
0.250 0.750 0.500 Tl
0.750 0.250 0.500 Tl
0.000 0.000 0.000 Tc
0.500 0.500 0.000 Br
```

Record 4
Ca2CoCuSn after structural relaxation. Source: Alexandria via LeMat-Bulk, functional GGA-PBE.

Properties
Formation enthalpy at 0 K   363 meV/atom
Space group   No. 123
Magnetic moment   1.901 μB/cell

```
Ca2CoCuSn
1.0
5.457 0.000 0.000
0.000 5.457 0.000
0.000 0.000 4.697
Ca Co Cu Sn
2 1 1 1
direct
0.000 0.500 0.000 Ca
0.500 0.000 0.000 Ca
0.000 0.000 0.500 Co
0.500 0.500 0.000 Cu
0.500 0.500 0.500 Sn
```

Record 5
TmInPdAu after structural relaxation. Source: Alexandria via LeMat-Bulk, functional GGA-PBE.

Properties
Formation enthalpy at 0 K   -754 meV/atom
Space group   No. 216
Magnetic moment   0.000 μB/cell

```
TmInPdAu
1.0
0.000 3.422 3.422
3.422 0.000 3.422
3.422 3.422 0.000
Tm In Pd Au
1 1 1 1
direct
0.000 0.000 0.000 Tm
0.500 0.500 0.500 In
0.750 0.750 0.750 Pd
0.250 0.250 0.250 Au
```

Record 6
Sm4SiRh3 after structural relaxation. Source: Alexandria via LeMat-Bulk, functional GGA-PBE.

Properties
Space group   No. 25
Magnetic moment   0.000 μB/cell
E_form (uncorrected)   -0.76 eV per atom

```
Sm4SiRh3
1.0
4.061 0.000 0.000
0.000 4.157 0.000
0.000 0.000 10.819
Sm Si Rh
4 1 3
direct
0.000 0.000 0.000 Sm
0.000 0.500 0.279 Sm
0.500 0.000 0.494 Sm
0.500 0.500 0.782 Sm
0.000 0.000 0.706 Si
0.000 0.500 0.571 Rh
0.500 0.000 0.224 Rh
0.500 0.500 0.050 Rh
```

Record 7
Mg5P after structural relaxation. Source: Alexandria via LeMat-Bulk, functional GGA-PBE.

Properties
ΔE to the lowest computed polymorph   0.120 eV per atom
Formation enthalpy at 0 K   23 meV/atom
Space group   No. 189
Magnetic moment   0.000 μB/cell

```
Mg5P
1.0
5.467 0.000 0.000
-2.734 4.735 0.000
0.000 0.000 4.823
Mg P
5 1
direct
0.000 0.679 0.000 Mg
0.321 0.321 0.000 Mg
0.333 0.667 0.500 Mg
0.667 0.333 0.500 Mg
0.679 0.000 0.000 Mg
0.000 0.000 0.500 P
```

Record 8
La5Mo after structural relaxation. Source: Alexandria via LeMat-Bulk, functional GGA-PBE.

Properties
ΔE to the lowest computed polymorph   0.000 eV per atom
Formation enthalpy at 0 K   292 meV/atom
Space group   No. 38
Magnetic moment   0.000 μB/cell

```
La5Mo
1.0
5.753 0.000 0.000
0.000 1.912 8.771
0.000 -1.912 8.771
La Mo
5 1
direct
0.000 0.000 0.000 La
0.000 0.269 0.269 La
0.500 0.165 0.165 La
0.500 0.518 0.518 La
0.500 0.846 0.846 La
0.000 0.626 0.626 Mo
```

Record 9
Mn2WI after structural relaxation. Source: Alexandria via LeMat-Bulk, functional GGA-PBE.

Properties
ΔE to the lowest computed polymorph   0.258 eV per atom
Space group   No. 122
Magnetic moment   0.001 μB/cell
E_form (uncorrected)   1.41 eV per atom

```
Mn2WI
1.0
-2.777 2.777 5.573
2.777 -2.777 5.573
2.777 2.777 -5.573
Mn W I
4 2 2
direct
0.099 0.625 0.974 Mn
0.375 0.349 0.474 Mn
0.651 0.125 0.026 Mn
0.875 0.901 0.526 Mn
0.000 0.000 0.000 W
0.750 0.250 0.500 W
0.250 0.750 0.500 I
0.500 0.500 0.000 I
```

Record 10
Li2NdSmGe2 after structural relaxation. Source: Alexandria via LeMat-Bulk, functional GGA-PBE.

Properties
Formation enthalpy at 0 K   -673 meV/atom
Space group   No. 164
Magnetic moment   0.000 μB/cell

```
Li2NdSmGe2
1.0
4.484 0.000 0.000
-2.242 3.883 0.000
0.000 0.000 7.493
Li Nd Sm Ge
2 1 1 2
direct
0.333 0.667 0.241 Li
0.667 0.333 0.759 Li
0.000 0.000 0.500 Nd
0.000 0.000 0.000 Sm
0.333 0.667 0.754 Ge
0.667 0.333 0.246 Ge
```

Record 11
FeSiAs4 after structural relaxation. Source: Alexandria via LeMat-Bulk, functional GGA-PBE.

Properties
Space group   No. 216
Magnetic moment   2.903 μB/cell
E_form (uncorrected)   0.80 eV per atom

```
FeSiAs4
1.0
0.000 3.863 3.863
3.863 0.000 3.863
3.863 3.863 0.000
Fe Si As
1 1 4
direct
0.000 0.000 0.000 Fe
0.250 0.250 0.250 Si
0.125 0.625 0.625 As
0.625 0.125 0.625 As
0.625 0.625 0.125 As
0.625 0.625 0.625 As
```

Record 12
W2SN after structural relaxation. Source: Alexandria via LeMat-Bulk, functional GGA-PBE.

Properties
ΔE to the lowest computed polymorph   0.000 eV per atom
Space group   No. 122
Magnetic moment   0.000 μB/cell
E_form (uncorrected)   0.13 eV per atom

```
W2SN
1.0
-2.185 2.185 6.286
2.185 -2.185 6.286
2.185 2.185 -6.286
W S N
4 2 2
direct
0.055 0.625 0.930 W
0.375 0.305 0.430 W
0.695 0.125 0.070 W
0.875 0.945 0.570 W
0.250 0.750 0.500 S
0.500 0.500 0.000 S
0.000 0.000 0.000 N
0.750 0.250 0.500 N
```